Material: RbIrW2
Method: DFT, PBE
State: optimized geometry

Values from the calculation:
- Density: 9350 kg/m³
- ΔH_f (0 K): 1.721 eV/atom
- Electronic total energy: -57.70 eV per cell

a = 5.1267 Å, b = 5.1267 Å, c = 9.4451 Å
α = 74.25°, β = 74.25°, γ = 90.00°
Positions (direct):
W (0.8898, 0.6250, 0.2500)
Rb (0.2500, 0.7500, 0.5000)
W (0.8602, 0.1250, 0.2500)
Ir (0.0000, 0.0000, 0.0000)
W (0.8750, 0.1102, 0.7500)
Ir (0.7500, 0.2500, 0.5000)
Rb (0.5000, 0.5000, 0.0000)
W (0.3750, 0.1398, 0.7500)